The following is a DFT calculation (PBE-GGA) of a geometry-optimized LaTb2Pr3Ho6 structure.

Calculated values
The total magnetization comes out at 0.001 Bohr magnetons per cell. The density of states at the Fermi level comes out at 1.200 states/eV/atom. Its space-group type is C2/m. The calculated formation energy comes out at 0.215 eV per formula unit.

Unit cell a=6.2447 b=6.2447 c=11.8470 alpha=95.02 beta=95.02 gamma=119.99
With the nearest neighbours (Å) after each atom.
Positions (direct):
La  0.0000  0.0000  0.0000  6 Ho 3.57, 6 Tb 3.60-3.61
Tb  0.3332  0.6668  0.0000  6 Ho 3.56-3.57, 3 La 3.60-3.61, 3 Tb 3.60-3.61
Tb  0.6668  0.3332  0.0000  6 Ho 3.56-3.57, 3 La 3.60-3.61, 3 Tb 3.60-3.61
Pr  0.1670  0.8330  0.5000  6 Ho 3.59-3.60, 6 Pr 3.60-3.61
Pr  0.5000  0.5000  0.5000  6 Ho 3.59-3.60, 6 Pr 3.60-3.61
Pr  0.8330  0.1670  0.5000  6 Ho 3.59-3.60, 6 Pr 3.60-3.61
Ho  0.0829  0.4172  0.2483  2 Tb 3.56, 1 La 3.57, 3 Pr 3.59-3.60, 6 Ho 3.60-3.62
Ho  0.2516  0.2516  0.7516  2 Tb 3.57, 1 La 3.57, 3 Pr 3.59-3.60, 6 Ho 3.60-3.62
Ho  0.4172  0.0829  0.2483  2 Tb 3.56, 1 La 3.57, 3 Pr 3.59-3.60, 6 Ho 3.60-3.62
Ho  0.5828  0.9171  0.7517  2 Tb 3.56, 1 La 3.57, 3 Pr 3.59-3.60, 6 Ho 3.60-3.62
Ho  0.7484  0.7484  0.2484  2 Tb 3.57, 1 La 3.57, 3 Pr 3.59-3.60, 6 Ho 3.60-3.62
Ho  0.9171  0.5828  0.7517  2 Tb 3.56, 1 La 3.57, 3 Pr 3.59-3.60, 6 Ho 3.60-3.62


The following is a DFT calculation (PBE-GGA) of a geometry-optimized La2TbPr6Ho3 structure.

Calculated values
The total magnetization comes out at 0.000 Bohr magnetons per cell. The density of states at the Fermi level comes out at 1.380 states/eV/atom. Its space-group type is C2/m. The calculated formation energy comes out at 0.214 eV per formula unit.

Unit cell a=6.3589 b=6.3589 c=12.0677 alpha=95.04 beta=95.04 gamma=120.03
With the nearest neighbours (Å) after each atom.
Positions (direct):
La  0.1667  0.8333  0.0000  3 La 3.67, 3 Tb 3.67, 6 Pr 3.70
La  0.8333  0.1667  0.0000  3 La 3.67, 3 Tb 3.67, 6 Pr 3.70
Tb  0.5000  0.5000  0.0000  6 La 3.67, 6 Pr 3.69-3.70
Pr  0.0829  0.4150  0.7449  3 Ho 3.60-3.61, 6 Pr 3.66-3.68, 1 Tb 3.69, 2 La 3.70
Pr  0.2525  0.2525  0.2553  3 Ho 3.59-3.60, 6 Pr 3.66-3.68, 1 Tb 3.70, 2 La 3.70
Pr  0.4150  0.0829  0.7449  3 Ho 3.60-3.61, 6 Pr 3.66-3.68, 1 Tb 3.69, 2 La 3.70
Pr  0.5850  0.9171  0.2551  3 Ho 3.60-3.61, 6 Pr 3.66-3.68, 1 Tb 3.69, 2 La 3.70
Pr  0.7475  0.7475  0.7447  3 Ho 3.59-3.60, 6 Pr 3.66-3.68, 1 Tb 3.70, 2 La 3.70
Pr  0.9171  0.5850  0.2551  3 Ho 3.60-3.61, 6 Pr 3.66-3.68, 1 Tb 3.69, 2 La 3.70
Ho  0.0000  0.0000  0.5000  6 Pr 3.60, 6 Ho 3.67-3.68
Ho  0.3336  0.6664  0.5000  6 Pr 3.59-3.61, 6 Ho 3.67-3.68
Ho  0.6664  0.3336  0.5000  6 Pr 3.59-3.61, 6 Ho 3.67-3.68


The following is a DFT calculation (PBE-GGA) of a geometry-optimized La4Tb2PrHo structure.

Calculated values
The total magnetization comes out at 0.000 Bohr magnetons per cell. The density of states at the Fermi level comes out at 1.727 states/eV/atom. Its space-group type is P2/m. The calculated formation energy comes out at 0.705 eV per formula unit.

Unit cell a=6.0393 b=6.0378 c=7.6777 alpha=90.00 beta=90.01 gamma=90.00
With the nearest neighbours (Å) after each atom.
Positions (direct):
La  0.0002  0.0000  0.2441  4 Tb 3.55, 2 Pr 3.60, 2 Ho 3.60, 2 La 3.75-3.93
La  0.9998  0.0000  0.7559  4 Tb 3.55, 2 Pr 3.60, 2 Ho 3.60, 2 La 3.75-3.93
La  0.4989  0.5000  0.2423  4 Tb 3.54-3.55, 2 Ho 3.61-3.62, 2 Pr 3.61, 2 La 3.72-3.96
La  0.5011  0.5000  0.7577  4 Tb 3.54-3.55, 2 Ho 3.61-3.62, 2 Pr 3.61, 2 La 3.72-3.96
Tb  0.0000  0.5000  0.0000  8 La 3.54-3.55, 2 Ho 3.84
Tb  0.5000  0.0000  0.0000  8 La 3.55, 2 Pr 3.84
Pr  0.5000  0.0000  0.5000  8 La 3.60-3.61, 2 Tb 3.84
Ho  0.0000  0.5000  0.5000  8 La 3.60-3.62, 2 Tb 3.84


The following is a DFT calculation (PBE-GGA) of a geometry-optimized LaTb3Pr6Ho2 structure.

Calculated values
The total magnetization comes out at 0.000 Bohr magnetons per cell. The density of states at the Fermi level comes out at 1.292 states/eV/atom. Its space-group type is C2/m. The calculated formation energy comes out at 0.188 eV per formula unit.

Unit cell a=6.3380 b=6.3380 c=12.0166 alpha=95.04 beta=95.04 gamma=120.01
With the nearest neighbours (Å) after each atom.
Positions (direct):
La  0.0000  0.0000  0.0000  6 Pr 3.65, 6 Ho 3.66
Tb  0.1671  0.8329  0.5000  6 Pr 3.61-3.62, 6 Tb 3.65-3.67
Tb  0.5000  0.5000  0.5000  6 Pr 3.62, 6 Tb 3.65-3.66
Tb  0.8329  0.1671  0.5000  6 Pr 3.61-3.62, 6 Tb 3.65-3.67
Pr  0.0840  0.4184  0.2514  3 Tb 3.61-3.62, 2 Ho 3.65, 1 La 3.65, 6 Pr 3.65-3.67
Pr  0.2502  0.2502  0.7484  3 Tb 3.62, 2 Ho 3.65, 1 La 3.65, 6 Pr 3.65-3.67
Pr  0.4184  0.0840  0.2514  3 Tb 3.61-3.62, 2 Ho 3.65, 1 La 3.65, 6 Pr 3.65-3.67
Pr  0.5816  0.9160  0.7486  3 Tb 3.61-3.62, 2 Ho 3.65, 1 La 3.65, 6 Pr 3.65-3.67
Pr  0.7498  0.7498  0.2516  3 Tb 3.62, 2 Ho 3.65, 1 La 3.65, 6 Pr 3.65-3.67
Pr  0.9160  0.5816  0.7486  3 Tb 3.61-3.62, 2 Ho 3.65, 1 La 3.65, 6 Pr 3.65-3.67
Ho  0.3335  0.6665  0.0000  6 Pr 3.65, 3 Ho 3.66, 3 La 3.66
Ho  0.6665  0.3335  0.0000  6 Pr 3.65, 3 Ho 3.66, 3 La 3.66


The following is a DFT calculation (PBE-GGA) of a geometry-optimized LaTb5Pr2Ho structure.

Calculated values
The total magnetization comes out at 0.000 Bohr magnetons per cell. The density of states at the Fermi level comes out at 1.176 states/eV/atom. Its space-group type is I4/mcm. The calculated formation energy comes out at 2.332 eV per formula unit.

Unit cell a=10.0333 b=10.0333 c=10.0333 alpha=128.05 beta=128.05 gamma=76.55
With the nearest neighbours (Å) after each atom.
Positions (direct):
La  0.2500  0.2500  0.0000  10 Tb 3.61-3.94
La  0.7500  0.7500  0.0000  10 Tb 3.61-3.94
Tb  0.0000  0.0000  0.0000  4 Pr 3.51, 8 Tb 3.83
Tb  0.0720  0.5720  0.9200  1 Pr 3.05, 1 Ho 3.15
Tb  0.1519  0.0720  0.5000  1 Pr 3.05, 1 Ho 3.15
Tb  0.3481  0.8481  0.9200  1 Pr 3.05, 1 Ho 3.15
Tb  0.4280  0.3481  0.5000  1 Pr 3.05, 1 Ho 3.15
Tb  0.5000  0.5000  0.0000  4 Pr 3.51, 8 Tb 3.83
Tb  0.5720  0.6519  0.5000  1 Pr 3.05, 1 Ho 3.15
Tb  0.6519  0.1519  0.0800  1 Pr 3.05, 1 Ho 3.15
Tb  0.8481  0.9280  0.5000  1 Pr 3.05, 1 Ho 3.15
Tb  0.9280  0.4280  0.0800  1 Pr 3.05, 1 Ho 3.15
Pr  0.1181  0.3819  0.5000  1 Pr 2.93, 2 Tb 3.05
Pr  0.3819  0.8819  0.2639  1 Pr 2.93, 2 Tb 3.05
Pr  0.6181  0.1181  0.7361  1 Pr 2.93, 2 Tb 3.05
Pr  0.8819  0.6181  0.5000  1 Pr 2.93, 2 Tb 3.05
Ho  0.2500  0.7500  0.5000  4 Tb 3.15
Ho  0.7500  0.2500  0.5000  4 Tb 3.15


The following is a DFT calculation (PBE-GGA) of a geometry-optimized La2Tb2PrHo structure.

Calculated values
The total magnetization comes out at 0.000 Bohr magnetons per cell. The density of states at the Fermi level comes out at 1.526 states/eV/atom. Its space-group type is Pmc2_1. The calculated formation energy comes out at 0.395 eV per formula unit.

Unit cell a=5.7610 b=10.0201 c=7.1086 alpha=90.00 beta=90.00 gamma=90.00
With the nearest neighbours (Å) after each atom.
Positions (direct):
La  0.0000  0.0002  0.0000  6 La 3.55-3.78, 6 Tb 3.77-3.79, 2 Ho 3.81
La  0.0000  0.9998  0.5000  6 La 3.55-3.78, 6 Tb 3.77-3.79, 2 Ho 3.81
La  0.5000  0.1687  0.2502  5 Tb 3.32-3.56
La  0.5000  0.8313  0.7502  5 Tb 3.32-3.56
Tb  0.0000  0.3333  0.2495  3 Ho 3.31-3.56, 2 La 3.32
Tb  0.0000  0.6667  0.7495  3 Ho 3.31-3.56, 2 La 3.32
Tb  0.5000  0.1670  0.7500  2 Ho 3.34, 3 La 3.36-3.56
Tb  0.5000  0.8330  0.2500  2 Ho 3.34, 3 La 3.36-3.56
Pr  0.5000  0.4998  0.9995  2 Pr 3.55, 4 Ho 3.76, 2 La 3.77, 6 Tb 3.77-3.78
Pr  0.5000  0.5002  0.4995  2 Pr 3.55, 4 Ho 3.76, 2 La 3.77, 6 Tb 3.77-3.78
Ho  0.0000  0.3362  0.7493  5 Tb 3.31-3.56
Ho  0.0000  0.6638  0.2493  5 Tb 3.31-3.56